This record from Alexandria describes crystalline La15ThTl4 at its relaxed geometry. The functional is PBE.

```
data_La15ThTl4
_chemical_formula_sum 'La15 Th1 Tl4'
_cell_length_a 5.087
_cell_length_b 5.087
_cell_length_c 25.528
_cell_angle_alpha 90.00
_cell_angle_beta 90.00
_cell_angle_gamma 90.00
_symmetry_space_group_name_H-M 'P 1'
_symmetry_Int_Tables_number 1
_symmetry_space_group_name_Hall 'P 1'
loop_
_atom_site_label
_atom_site_type_symbol
_atom_site_fract_x
_atom_site_fract_y
_atom_site_fract_z
_atom_site_occupancy
La1 La 0.000 0.500 0.500 1
La2 La 0.500 0.500 0.000 1
Tl1 Tl 0.000 0.000 0.599 1
Th1 Th 0.000 0.000 0.000 1
Tl2 Tl 0.000 0.000 0.401 1
La3 La 0.500 0.500 0.796 1
La4 La 0.500 0.500 0.399 1
La5 La 0.500 0.000 0.100 1
La6 La 0.500 0.500 0.601 1
La7 La 0.500 0.000 0.301 1
La8 La 0.500 0.500 0.204 1
Tl3 Tl 0.000 0.000 0.797 1
Tl4 Tl 0.000 0.000 0.203 1
La9 La 0.500 0.000 0.900 1
La10 La 0.500 0.000 0.699 1
La11 La 0.000 0.500 0.699 1
La12 La 0.500 0.000 0.500 1
La13 La 0.000 0.500 0.301 1
La14 La 0.000 0.500 0.100 1
La15 La 0.000 0.500 0.900 1
```

Calculated values
The formation energy is -0.19 eV/atom. The calculation puts the density of states at the Fermi level at 1.352 states/eV per atom.



This record from Alexandria describes crystalline SrPaGe2O8 at its relaxed geometry. The functional is PBE.

```
data_SrPaGe2O8
_chemical_formula_sum 'Sr1 Pa1 Ge2 O8'
_cell_length_a 6.098
_cell_length_b 6.098
_cell_length_c 6.098
_cell_angle_alpha 106.77
_cell_angle_beta 106.77
_cell_angle_gamma 115.02
_symmetry_space_group_name_H-M 'P 1'
_symmetry_Int_Tables_number 1
_symmetry_space_group_name_Hall 'P 1'
loop_
_atom_site_label
_atom_site_type_symbol
_atom_site_fract_x
_atom_site_fract_y
_atom_site_fract_z
_atom_site_occupancy
O1 O 0.336 0.532 0.197 1
O2 O 0.468 0.664 0.803 1
O3 O 0.388 0.060 0.328 1
Sr1 Sr 0.000 0.000 0.000 1
Ge1 Ge 0.500 0.500 0.000 1
Pa1 Pa 0.250 0.750 0.500 1
O4 O 0.940 0.268 0.328 1
Ge2 Ge 0.750 0.250 0.500 1
O5 O 0.940 0.612 0.672 1
O6 O 0.336 0.139 0.803 1
O7 O 0.861 0.664 0.197 1
O8 O 0.732 0.060 0.672 1
```

Calculated values
The electronic total energy is -87.5 eV for the cell shown. The calculation puts the density of states at the Fermi level at 0.813 states/eV per atom.



This record from Alexandria describes crystalline LaScS2 at its relaxed geometry. The functional is PBE.

```
data_LaScS2
_chemical_formula_sum 'La1 Sc1 S2'
_cell_length_a 3.835
_cell_length_b 3.835
_cell_length_c 7.150
_cell_angle_alpha 74.45
_cell_angle_beta 74.45
_cell_angle_gamma 60.00
_symmetry_space_group_name_H-M 'P 1'
_symmetry_Int_Tables_number 1
_symmetry_space_group_name_Hall 'P 1'
loop_
_atom_site_label
_atom_site_type_symbol
_atom_site_fract_x
_atom_site_fract_y
_atom_site_fract_z
_atom_site_occupancy
Sc1 Sc 0.672 0.672 0.984 1
La1 La 0.495 0.495 0.514 1
S1 S 0.262 0.262 0.215 1
S2 S 0.071 0.071 0.787 1
```

Calculated values
The electronic total energy is -27.3 eV for the cell shown. The calculation puts the density of states at the Fermi level at 0.312 states/eV per atom.



This record from Alexandria describes crystalline VB3Rh at its relaxed geometry. The functional is PBE.

```
data_VB3Rh
_chemical_formula_sum 'V1 B3 Rh1'
_cell_length_a 3.973
_cell_length_b 3.973
_cell_length_c 3.973
_cell_angle_alpha 90.00
_cell_angle_beta 90.00
_cell_angle_gamma 90.00
_symmetry_space_group_name_H-M 'P 1'
_symmetry_Int_Tables_number 1
_symmetry_space_group_name_Hall 'P 1'
loop_
_atom_site_label
_atom_site_type_symbol
_atom_site_fract_x
_atom_site_fract_y
_atom_site_fract_z
_atom_site_occupancy
V1 V 0.500 0.500 0.500 1
B1 B 0.000 0.500 0.000 1
B2 B 0.500 0.000 0.000 1
B3 B 0.000 0.000 0.500 1
Rh1 Rh 0.000 0.000 0.000 1
```

Calculated values
The formation energy is 1.15 eV/atom. The calculation puts the density of states at the Fermi level at 0.711 states/eV per atom.



This record from Alexandria describes crystalline PuTh2Sb at its relaxed geometry. The functional is PBE.

```
data_PuTh2Sb
_chemical_formula_sum 'Pu1 Th2 Sb1'
_cell_length_a 4.053
_cell_length_b 4.053
_cell_length_c 7.099
_cell_angle_alpha 90.00
_cell_angle_beta 90.00
_cell_angle_gamma 90.00
_symmetry_space_group_name_H-M 'P 1'
_symmetry_Int_Tables_number 1
_symmetry_space_group_name_Hall 'P 1'
loop_
_atom_site_label
_atom_site_type_symbol
_atom_site_fract_x
_atom_site_fract_y
_atom_site_fract_z
_atom_site_occupancy
Th1 Th 0.000 0.000 0.242 1
Pu1 Pu 0.500 0.500 0.500 1
Th2 Th 0.000 0.000 0.758 1
Sb1 Sb 0.500 0.500 0.000 1
```

Calculated values
The electronic total energy is -34.5 eV for the cell shown. The calculation puts the density of states at the Fermi level at 2.061 states/eV per atom.



This record from Alexandria describes crystalline AlCr2In at its relaxed geometry. The functional is PBE.

```
data_AlCr2In
_chemical_formula_sum 'Al1 Cr2 In1'
_cell_length_a 8.779
_cell_length_b 8.779
_cell_length_c 8.779
_cell_angle_alpha 19.24
_cell_angle_beta 19.24
_cell_angle_gamma 19.24
_symmetry_space_group_name_H-M 'P 1'
_symmetry_Int_Tables_number 1
_symmetry_space_group_name_Hall 'P 1'
loop_
_atom_site_label
_atom_site_type_symbol
_atom_site_fract_x
_atom_site_fract_y
_atom_site_fract_z
_atom_site_occupancy
Cr1 Cr 0.990 0.990 0.990 1
Cr2 Cr 0.266 0.266 0.266 1
In1 In 0.505 0.505 0.505 1
Al1 Al 0.740 0.740 0.740 1
```

Calculated values
The formation energy is 0.30 eV/atom. The calculation puts the density of states at the Fermi level at 0.472 states/eV per atom.



This record from Alexandria describes crystalline GaSN2 at its relaxed geometry. The functional is PBE.

```
data_GaSN2
_chemical_formula_sum 'Ga2 S2 N4'
_cell_length_a 4.298
_cell_length_b 4.298
_cell_length_c 6.150
_cell_angle_alpha 69.55
_cell_angle_beta 69.55
_cell_angle_gamma 90.00
_symmetry_space_group_name_H-M 'P 1'
_symmetry_Int_Tables_number 1
_symmetry_space_group_name_Hall 'P 1'
loop_
_atom_site_label
_atom_site_type_symbol
_atom_site_fract_x
_atom_site_fract_y
_atom_site_fract_z
_atom_site_occupancy
Ga1 Ga 0.750 0.250 0.500 1
N1 N 0.130 0.625 0.250 1
N2 N 0.620 0.125 0.250 1
N3 N 0.375 0.380 0.750 1
Ga2 Ga 0.000 0.000 0.000 1
N4 N 0.875 0.870 0.750 1
S1 S 0.500 0.500 0.000 1
S2 S 0.250 0.750 0.500 1
```

Calculated values
The electronic total energy is -40.5 eV for the cell shown. The calculation puts the density of states at the Fermi level at 0.150 states/eV per atom.



This record from Alexandria describes crystalline Tl4AuBr6 at its relaxed geometry. The functional is PBE.

```
data_Tl4AuBr6
_chemical_formula_sum 'Tl8 Au2 Br12'
_cell_length_a 9.016
_cell_length_b 9.016
_cell_length_c 9.029
_cell_angle_alpha 90.00
_cell_angle_beta 90.00
_cell_angle_gamma 90.00
_symmetry_space_group_name_H-M 'P 1'
_symmetry_Int_Tables_number 1
_symmetry_space_group_name_Hall 'P 1'
loop_
_atom_site_label
_atom_site_type_symbol
_atom_site_fract_x
_atom_site_fract_y
_atom_site_fract_z
_atom_site_occupancy
Br1 Br 0.688 0.137 0.500 1
Br2 Br 0.188 0.363 0.000 1
Br3 Br 0.000 0.000 0.778 1
Br4 Br 0.637 0.188 0.000 1
Au1 Au 0.500 0.500 0.000 1
Br5 Br 0.500 0.500 0.278 1
Tl1 Tl 0.652 0.848 0.250 1
Br6 Br 0.812 0.637 0.000 1
Tl2 Tl 0.848 0.348 0.250 1
Tl3 Tl 0.652 0.848 0.750 1
Tl4 Tl 0.348 0.152 0.250 1
Tl5 Tl 0.848 0.348 0.750 1
Br7 Br 0.312 0.863 0.500 1
Tl6 Tl 0.152 0.652 0.250 1
Br8 Br 0.863 0.688 0.500 1
Br9 Br 0.000 0.000 0.222 1
Br10 Br 0.363 0.812 0.000 1
Tl7 Tl 0.348 0.152 0.750 1
Tl8 Tl 0.152 0.652 0.750 1
Au2 Au 0.000 0.000 0.500 1
Br11 Br 0.500 0.500 0.722 1
Br12 Br 0.137 0.312 0.500 1
```

Calculated values
The electronic total energy is -59.3 eV for the cell shown. The calculation puts the density of states at the Fermi level at 0.477 states/eV per atom.



This record from Alexandria describes crystalline CaP2Rh at its relaxed geometry. The functional is PBE.

```
data_CaP2Rh
_chemical_formula_sum 'Ca1 P2 Rh1'
_cell_length_a 7.065
_cell_length_b 4.236
_cell_length_c 3.692
_cell_angle_alpha 89.81
_cell_angle_beta 58.76
_cell_angle_gamma 127.43
_symmetry_space_group_name_H-M 'P 1'
_symmetry_Int_Tables_number 1
_symmetry_space_group_name_Hall 'P 1'
loop_
_atom_site_label
_atom_site_type_symbol
_atom_site_fract_x
_atom_site_fract_y
_atom_site_fract_z
_atom_site_occupancy
Ca1 Ca 0.500 0.500 0.000 1
P1 P 0.000 0.000 0.000 1
P2 P 0.500 0.000 0.500 1
Rh1 Rh 0.000 0.500 0.500 1
```

Calculated values
The formation energy is -0.25 eV/atom. The calculation puts the density of states at the Fermi level at 0.722 states/eV per atom.



This record from Alexandria describes crystalline Pr2CuHRh6 at its relaxed geometry. The functional is PBE.

```
data_Pr2CuHRh6
_chemical_formula_sum 'Pr2 Cu1 H1 Rh6'
_cell_length_a 6.889
_cell_length_b 5.618
_cell_length_c 5.621
_cell_angle_alpha 60.03
_cell_angle_beta 65.92
_cell_angle_gamma 90.00
_symmetry_space_group_name_H-M 'P 1'
_symmetry_Int_Tables_number 1
_symmetry_space_group_name_Hall 'P 1'
loop_
_atom_site_label
_atom_site_type_symbol
_atom_site_fract_x
_atom_site_fract_y
_atom_site_fract_z
_atom_site_occupancy
Rh1 Rh 0.670 0.209 0.060 1
Rh2 Rh 0.329 0.269 0.941 1
Pr1 Pr 0.848 0.282 0.435 1
Cu1 Cu 0.000 0.000 0.000 1
Rh3 Rh 0.330 0.791 0.940 1
Rh4 Rh 0.330 0.269 0.462 1
Rh5 Rh 0.671 0.731 0.059 1
Rh6 Rh 0.670 0.731 0.538 1
Pr2 Pr 0.152 0.718 0.565 1
H1 H 0.500 0.500 0.000 1
```

Calculated values
The electronic total energy is -64.1 eV for the cell shown. The calculation puts the density of states at the Fermi level at 1.142 states/eV per atom.



This record from Alexandria describes crystalline Hf2ScAgH at its relaxed geometry. The functional is PBE.

```
data_Hf2ScAgH
_chemical_formula_sum 'Hf2 Sc1 Ag1 H1'
_cell_length_a 4.355
_cell_length_b 4.355
_cell_length_c 4.505
_cell_angle_alpha 90.00
_cell_angle_beta 90.00
_cell_angle_gamma 90.00
_symmetry_space_group_name_H-M 'P 1'
_symmetry_Int_Tables_number 1
_symmetry_space_group_name_Hall 'P 1'
loop_
_atom_site_label
_atom_site_type_symbol
_atom_site_fract_x
_atom_site_fract_y
_atom_site_fract_z
_atom_site_occupancy
Hf1 Hf 0.500 0.000 0.000 1
Hf2 Hf 0.000 0.500 0.000 1
H1 H 0.000 0.000 0.000 1
Ag1 Ag 0.500 0.500 0.500 1
Sc1 Sc 0.000 0.000 0.500 1
```

Calculated values
The electronic total energy is -32.8 eV for the cell shown. The calculation puts the density of states at the Fermi level at 1.459 states/eV per atom.



This record from Alexandria describes crystalline LiZn2TeH at its relaxed geometry. The functional is PBE.

```
data_LiZn2TeH
_chemical_formula_sum 'Li1 Zn2 Te1 H1'
_cell_length_a 5.204
_cell_length_b 3.430
_cell_length_c 5.204
_cell_angle_alpha 90.00
_cell_angle_beta 90.00
_cell_angle_gamma 90.00
_symmetry_space_group_name_H-M 'P 1'
_symmetry_Int_Tables_number 1
_symmetry_space_group_name_Hall 'P 1'
loop_
_atom_site_label
_atom_site_type_symbol
_atom_site_fract_x
_atom_site_fract_y
_atom_site_fract_z
_atom_site_occupancy
Li1 Li 0.000 0.000 0.000 1
Zn1 Zn 0.500 0.000 0.000 1
H1 H 0.000 0.500 0.000 1
Te1 Te 0.500 0.500 0.500 1
Zn2 Zn 0.000 0.000 0.500 1
```

Calculated values
The electronic total energy is -9.5 eV for the cell shown. The calculation puts the density of states at the Fermi level at 0.290 states/eV per atom.